# NbFeRhO6 PBE+U relaxed
data_NbFeRhO6
_symmetry_space_group_name_H-M 'P 1'
_symmetry_Int_Tables_number 1
_symmetry_space_group_name_Hall 'P 1'
_cell_length_a 4.710
_cell_length_b 4.710
_cell_length_c 9.235
_cell_angle_alpha 90.00
_cell_angle_beta 90.00
_cell_angle_gamma 90.00
loop_
_atom_site_label
_atom_site_fract_x
_atom_site_fract_y
_atom_site_fract_z
Fe1 0.500 0.500 0.166
O1 0.300 0.300 0.337
O2 0.198 0.802 0.164
Nb1 0.000 0.000 0.001
Nb2 0.500 0.500 0.501
O3 0.700 0.700 0.337
O4 0.802 0.198 0.164
O5 0.195 0.805 0.498
Rh1 0.000 0.000 0.333
O6 0.698 0.698 0.664
O7 0.800 0.200 0.837
O8 0.302 0.302 0.664
Rh2 0.500 0.500 0.833
O9 0.695 0.695 0.998
O10 0.200 0.800 0.837
O11 0.305 0.305 0.998
Fe2 0.000 0.000 0.666
O12 0.805 0.195 0.498
# - E_tot: -7.45 eV per atom